Entry from Alexandria: a geometry-optimized AsIrBr2 structure (PBEsol).

Computed properties:
raw formation energy = -0.290 eV per atom
density = 7.42 g/cm3
E_tot = -19.83 eV per cell
polymorph energy (0 for the lowest one) = 0.00 eV/f.u.

Lattice parameters (Å, degrees): 3.725 3.725 7.954 90.00 90.00 120.00
Element x y z (fractional)
As: 0.000 0.000 0.666
Ir: 0.333 0.667 0.535
Br: 0.000 0.000 0.959
Br: 0.667 0.333 0.340